# Al2SnSe4

A geometry-optimized Al2SnSe4 structure (PBE-GGA, the Alexandria database).

The structure in POSCAR format:
```
Al2SnSe4
1.0
3.130 -5.419 0.000
3.130 5.419 0.000
0.000 0.000 10.862
Al Sn Se
4 2 8
Direct
0.238 0.759 0.000
0.241 0.762 0.500
0.759 0.238 0.500
0.762 0.241 0.000
0.500 0.500 0.250
0.500 0.500 0.750
0.000 0.500 0.171
0.000 0.500 0.829
0.188 0.348 0.500
0.348 0.188 0.000
0.500 0.000 0.329
0.500 0.000 0.671
0.652 0.812 0.000
0.812 0.652 0.500
```

Summary:
Energy relative to the lowest polymorph listed for this composition ... 0 meV/atom
ΔE_f (raw) ... -5.1 eV/f.u.
Fermi-level density of states ... 0.00 states/eV per cell

# AlSnSe3

A geometry-optimized AlSnSe3 structure (PBE-GGA, the Alexandria database).

The structure in POSCAR format:
```
AlSnSe3
1.0
4.936 0.000 0.000
0.000 4.936 0.000
0.000 0.000 4.936
Al Sn Se
1 1 3
Direct
0.000 0.000 0.000
0.500 0.500 0.500
0.000 0.000 0.500
0.000 0.500 0.000
0.500 0.000 0.000
```

Summary:
Energy relative to the lowest polymorph listed for this composition ... 185 meV/atom
ΔE_f (raw) ... -1.1 eV/f.u.
Fermi-level density of states ... 1.92 states/eV per cell

# AlSnSe3

A geometry-optimized AlSnSe3 structure (PBE-GGA, the Alexandria database).

The structure in POSCAR format:
```
AlSnSe3
1.0
5.290 0.000 0.000
0.000 5.290 0.000
0.000 0.000 5.290
Al Sn Se
1 1 3
Direct
0.000 0.000 0.000
0.500 0.500 0.500
0.000 0.500 0.500
0.500 0.000 0.500
0.500 0.500 0.000
```

Summary:
Energy relative to the lowest polymorph listed for this composition ... 712 meV/atom
ΔE_f (raw) ... 1.5 eV/f.u.
Fermi-level density of states ... 3.07 states/eV per cell

# AlSnSe4

A geometry-optimized AlSnSe4 structure (PBE-GGA, the Alexandria database).

The structure in POSCAR format:
```
AlSnSe4
1.0
6.289 0.000 0.000
0.000 3.684 0.000
-0.020 0.000 7.174
Al Sn Se
1 1 4
Direct
0.000 0.000 0.000
0.500 0.500 0.000
0.149 0.500 0.782
0.316 0.000 0.228
0.684 0.000 0.772
0.851 0.500 0.218
```

Summary:
ΔE_f (raw) ... -2.5 eV/f.u.
Fermi-level density of states ... 2.46 states/eV per cell

# AlSn2Se4

A geometry-optimized AlSn2Se4 structure (PBE-GGA, the Alexandria database).

The structure in POSCAR format:
```
AlSn2Se4
1.0
13.794 0.000 0.000
0.000 13.794 0.000
0.000 0.000 6.222
Al Sn Se
4 8 16
Direct
0.000 0.500 0.250
0.000 0.500 0.750
0.500 0.000 0.250
0.500 0.000 0.750
0.102 0.276 0.000
0.224 0.398 0.500
0.276 0.898 0.500
0.398 0.776 0.000
0.602 0.224 0.000
0.724 0.102 0.500
0.776 0.602 0.500
0.898 0.724 0.000
0.010 0.365 0.500
0.135 0.490 0.000
0.243 0.743 0.250
0.243 0.743 0.750
0.257 0.243 0.250
0.257 0.243 0.750
0.365 0.990 0.000
0.490 0.865 0.500
0.510 0.135 0.500
0.635 0.010 0.000
0.743 0.757 0.250
0.743 0.757 0.750
0.757 0.257 0.250
0.757 0.257 0.750
0.865 0.510 0.000
0.990 0.635 0.500
```

Summary:
Energy relative to the lowest polymorph listed for this composition ... 0 meV/atom
ΔE_f (raw) ... -3.0 eV/f.u.
Fermi-level density of states ... 6.08 states/eV per cell

# AlSnSe3

A geometry-optimized AlSnSe3 structure (PBE-GGA, the Alexandria database).

The structure in POSCAR format:
```
AlSnSe3
1.0
3.821 0.000 0.000
0.000 4.308 5.353
0.000 -4.308 5.353
Al Sn Se
1 1 3
Direct
0.000 0.000 0.000
0.500 0.600 0.600
0.000 0.770 0.770
0.500 0.237 0.890
0.500 0.890 0.237
```

Summary:
Energy relative to the lowest polymorph listed for this composition ... 0 meV/atom
ΔE_f (raw) ... -2.0 eV/f.u.
Fermi-level density of states ... 2.38 states/eV per cell

# Al2SnSe2

A geometry-optimized Al2SnSe2 structure (PBE-GGA, the Alexandria database).

The structure in POSCAR format:
```
Al2SnSe2
1.0
7.667 0.000 0.000
0.000 7.667 0.000
0.000 0.000 3.542
Al Sn Se
4 2 4
Direct
0.140 0.360 0.000
0.360 0.860 0.000
0.640 0.140 0.000
0.860 0.640 0.000
0.000 0.000 0.000
0.500 0.500 0.000
0.150 0.650 0.500
0.350 0.150 0.500
0.650 0.850 0.500
0.850 0.350 0.500
```

Summary:
Energy relative to the lowest polymorph listed for this composition ... 126 meV/atom
ΔE_f (raw) ... -0.3 eV/f.u.
Fermi-level density of states ... 5.00 states/eV per cell

# Al2SnSe2

A geometry-optimized Al2SnSe2 structure (PBE-GGA, the Alexandria database).

The structure in POSCAR format:
```
Al2SnSe2
1.0
-2.285 2.285 5.860
2.285 -2.285 5.860
2.285 2.285 -5.860
Al Sn Se
2 1 2
Direct
0.250 0.750 0.500
0.750 0.250 0.500
0.000 0.000 0.000
0.354 0.354 0.000
0.646 0.646 0.000
```

Summary:
Energy relative to the lowest polymorph listed for this composition ... 207 meV/atom
ΔE_f (raw) ... 0.1 eV/f.u.
Fermi-level density of states ... 2.44 states/eV per cell

# Al5Sn3Se12

A geometry-optimized Al5Sn3Se12 structure (PBE-GGA, the Alexandria database).

The structure in POSCAR format:
```
Al5Sn3Se12
1.0
-7.938 7.938 7.938
7.938 -7.938 7.938
7.938 7.938 -7.938
Al Sn Se
20 12 48
Direct
0.000 0.000 0.000
0.000 0.000 0.500
0.000 0.500 0.000
0.000 0.500 0.500
0.125 0.750 0.875
0.125 0.875 0.250
0.250 0.125 0.875
0.250 0.625 0.375
0.375 0.250 0.625
0.375 0.625 0.750
0.500 0.000 0.000
0.500 0.000 0.500
0.500 0.500 0.000
0.500 0.500 0.500
0.625 0.375 0.250
0.625 0.750 0.375
0.750 0.375 0.625
0.750 0.875 0.125
0.875 0.125 0.750
0.875 0.250 0.125
0.125 0.250 0.375
0.125 0.375 0.750
0.250 0.375 0.125
0.250 0.875 0.625
0.375 0.125 0.250
0.375 0.750 0.125
0.625 0.250 0.875
0.625 0.875 0.750
0.750 0.125 0.375
0.750 0.625 0.875
0.875 0.625 0.250
0.875 0.750 0.625
0.030 0.207 0.120
0.030 0.323 0.910
0.087 0.707 0.677
0.087 0.880 0.410
0.090 0.620 0.413
0.090 0.970 0.677
0.120 0.030 0.207
0.120 0.590 0.913
0.177 0.207 0.587
0.177 0.470 0.590
0.207 0.120 0.030
0.207 0.587 0.177
0.293 0.323 0.913
0.293 0.470 0.380
0.323 0.910 0.030
0.323 0.913 0.293
0.380 0.293 0.470
0.380 0.587 0.910
0.410 0.087 0.880
0.410 0.823 0.530
0.413 0.090 0.620
0.413 0.823 0.793
0.470 0.380 0.293
0.470 0.590 0.177
0.530 0.410 0.823
0.530 0.620 0.707
0.587 0.177 0.207
0.587 0.910 0.380
0.590 0.177 0.470
0.590 0.913 0.120
0.620 0.413 0.090
0.620 0.707 0.530
0.677 0.087 0.707
0.677 0.090 0.970
0.707 0.530 0.620
0.707 0.677 0.087
0.793 0.413 0.823
0.793 0.880 0.970
0.823 0.530 0.410
0.823 0.793 0.413
0.880 0.410 0.087
0.880 0.970 0.793
0.910 0.030 0.323
0.910 0.380 0.587
0.913 0.120 0.590
0.913 0.293 0.323
0.970 0.677 0.090
0.970 0.793 0.880
```

Summary:
ΔE_f (raw) ... -10.6 eV/f.u.
Fermi-level density of states ... 67.56 states/eV per cell

# Al2SnSe2

A geometry-optimized Al2SnSe2 structure (PBE-GGA, the Alexandria database).

The structure in POSCAR format:
```
Al2SnSe2
1.0
-2.512 2.512 4.377
2.512 -2.512 4.377
2.512 2.512 -4.377
Al Sn Se
2 1 2
Direct
0.147 0.147 0.000
0.853 0.853 0.000
0.500 0.500 0.000
0.250 0.750 0.500
0.750 0.250 0.500
```

Summary:
Energy relative to the lowest polymorph listed for this composition ... 0 meV/atom
ΔE_f (raw) ... -1.0 eV/f.u.
Fermi-level density of states ... 2.18 states/eV per cell

# Al2SnSe4

A geometry-optimized Al2SnSe4 structure (PBE-GGA, the Alexandria database).

The structure in POSCAR format:
```
Al2SnSe4
1.0
-3.957 3.957 3.119
3.957 -3.957 3.119
3.957 3.957 -3.119
Al Sn Se
2 1 4
Direct
0.250 0.750 0.500
0.750 0.250 0.500
0.000 0.000 0.000
0.174 0.342 0.516
0.342 0.826 0.169
0.658 0.174 0.831
0.826 0.658 0.484
```

Summary:
Energy relative to the lowest polymorph listed for this composition ... 66 meV/atom
ΔE_f (raw) ... -4.7 eV/f.u.